1.
# ScSn2Pt (PBE, relaxed)
# * crystal system: trigonal
# * calculated volume: 24.5 Å³ per atom
# * electronic total energy: -62.6 eV for the cell shown
# * magnetic moment: 0.000 μB per formula unit
# * DOS(E_F): 11.433 states/eV per cell
data_ScSn2Pt
_chemical_formula_sum 'Sc3 Sn6 Pt3'
_space_group_name_H-M_alt 'R -3 m'
_space_group_IT_number 166
_space_group_name_Hall '-R 3 2"'
_cell_length_a 3.3960
_cell_length_b 3.3960
_cell_length_c 29.4601
_cell_angle_alpha 90.00
_cell_angle_beta 90.00
_cell_angle_gamma 120.00
loop_
_atom_site_label
_atom_site_fract_x
_atom_site_fract_y
_atom_site_fract_z
Sc1 0.0000 0.0000 0.0000
Sn1 0.0000 0.0000 0.1001
Pt1 0.0000 0.0000 0.5000

***

2.
# Nd8Ga2Hg (PBE, relaxed)
# * excess energy over the best structure of this formula in the dataset: 43 meV/atom
# * crystal system: orthorhombic
# * calculated volume: 29.9 Å³ per atom
# * electronic total energy: -93.8 eV for the cell shown
# * magnetic moment: 0.000 μB per formula unit
# * DOS(E_F): 26.063 states/eV per cell
data_Nd8Ga2Hg
_chemical_formula_sum 'Nd16 Ga4 Hg2'
_space_group_name_H-M_alt 'I m m m'
_space_group_IT_number 71
_space_group_name_Hall '-I 2 2'
_cell_length_a 5.0700
_cell_length_b 8.7196
_cell_length_c 14.8709
_cell_angle_alpha 90.00
_cell_angle_beta 90.00
_cell_angle_gamma 90.00
loop_
_atom_site_label
_atom_site_fract_x
_atom_site_fract_y
_atom_site_fract_z
Nd1 0.0000 0.0000 0.1418
Nd2 0.0000 0.2195 0.3381
Nd3 0.0000 0.3200 0.0000
Ga1 0.0000 0.5000 0.1936
Hg1 0.0000 0.5000 0.5000

***

- What is the DOS(E_F) in the first record?
  11.433 states/eV per cell